Entry 1:
## CaZnTc2 (GGA-PBEsol)

Data for an optimized crystal structure of CaZnTc2.

```
data_CaZnTc2
_chemical_formula_sum 'Ca4 Zn4 Tc8'
_cell_length_a 6.329
_cell_length_b 6.329
_cell_length_c 6.329
_cell_angle_alpha 90.00
_cell_angle_beta 90.00
_cell_angle_gamma 90.00
_space_group_name_H-M_alt 'F -4 3 m'
_space_group_IT_number 216
_space_group_name_Hall 'F -4 2 3'
loop_
_atom_site_label
_atom_site_type_symbol
_atom_site_fract_x
_atom_site_fract_y
_atom_site_fract_z
Ca1 Ca 0.000 0.000 0.000
Zn1 Zn 0.250 0.250 0.250
Tc1 Tc 0.000 0.000 0.500
Tc2 Tc 0.250 0.250 0.750
```

ΔE_f ... 134 kJ/mol of formula units
V ... 15.8 Å³/atom
Fermi-level density of states ... 5.2 states/eV per cell
Size of the total moment ... 0.0 μB/f.u.


Entry 2:
## KCd2Au (GGA-PBEsol)

Data for an optimized crystal structure of KCd2Au.

```
data_KCd2Au
_chemical_formula_sum 'K2 Cd4 Au2'
_cell_length_a 8.334
_cell_length_b 4.812
_cell_length_c 6.500
_cell_angle_alpha 90.00
_cell_angle_beta 114.93
_cell_angle_gamma 90.00
_space_group_name_H-M_alt 'C 1 m 1'
_space_group_IT_number 8
_space_group_name_Hall 'C -2y'
loop_
_atom_site_label
_atom_site_type_symbol
_atom_site_fract_x
_atom_site_fract_y
_atom_site_fract_z
K1 K 0.000 0.000 0.000
Cd1 Cd 0.017 0.500 0.551
Cd2 Cd 0.312 0.500 0.436
Au1 Au 0.184 0.000 0.551
```

ΔE_f ... -59 kJ/mol of formula units
V ... 29.5 Å³/atom
Fermi-level density of states ... 3.0 states/eV per cell
Size of the total moment ... 0.0 μB/f.u.


Entry 3:
## LaZn2Mo (GGA-PBEsol)

Data for an optimized crystal structure of LaZn2Mo.

```
data_LaZn2Mo
_chemical_formula_sum 'La3 Zn6 Mo3'
_cell_length_a 2.9222
_cell_length_b 2.9222
_cell_length_c 29.7511
_cell_angle_alpha 90.00
_cell_angle_beta 90.00
_cell_angle_gamma 120.00
_space_group_name_H-M_alt 'R -3 m'
_space_group_IT_number 166
_space_group_name_Hall '-R 3 2"'
loop_
_atom_site_label
_atom_site_type_symbol
_atom_site_fract_x
_atom_site_fract_y
_atom_site_fract_z
La1 La 0.0000 0.0000 0.0000
Zn1 Zn 0.0000 0.0000 0.2391
Mo1 Mo 0.0000 0.0000 0.5000
```

ΔE_f ... 133 kJ/mol of formula units
V ... 18.3 Å³/atom
Energy above the most stable polymorph in this dataset ... 2.4 kJ/mol of atoms
Fermi-level density of states ... 13.9 states/eV per cell
Size of the total moment ... 0.0 μB/f.u.


Entry 4:
## AlZnFe2 (GGA-PBEsol)

Data for an optimized crystal structure of AlZnFe2.

```
data_AlZnFe2
_chemical_formula_sum 'Al1 Zn1 Fe2'
_cell_length_a 2.879
_cell_length_b 2.879
_cell_length_c 5.880
_cell_angle_alpha 90.00
_cell_angle_beta 90.00
_cell_angle_gamma 90.00
_space_group_name_H-M_alt 'P 4 m m'
_space_group_IT_number 99
_space_group_name_Hall 'P 4 -2'
loop_
_atom_site_label
_atom_site_type_symbol
_atom_site_fract_x
_atom_site_fract_y
_atom_site_fract_z
Al1 Al 0.000 0.000 0.000
Zn1 Zn 0.500 0.500 0.701
Fe1 Fe 0.000 0.000 0.452
Fe2 Fe 0.500 0.500 0.240
```

ΔE_f ... -28 kJ/mol of formula units
V ... 12.2 Å³/atom
Fermi-level density of states ... 3.3 states/eV per cell
Size of the total moment ... 3.4 μB/f.u.


Entry 5:
## MgMnZn2 (GGA-PBEsol)

Data for an optimized crystal structure of MgMnZn2.

```
data_MgMnZn2
_chemical_formula_sum 'Mg1 Mn1 Zn2'
_cell_length_a 4.166
_cell_length_b 4.166
_cell_length_c 3.391
_cell_angle_alpha 90.00
_cell_angle_beta 90.00
_cell_angle_gamma 90.00
_space_group_name_H-M_alt 'P 4/m m m'
_space_group_IT_number 123
_space_group_name_Hall '-P 4 2'
loop_
_atom_site_label
_atom_site_type_symbol
_atom_site_fract_x
_atom_site_fract_y
_atom_site_fract_z
Mg1 Mg 0.000 0.000 0.000
Mn1 Mn 0.500 0.500 0.000
Zn1 Zn 0.000 0.500 0.500
```

ΔE_f ... 28 kJ/mol of formula units
V ... 14.7 Å³/atom
Fermi-level density of states ... 1.7 states/eV per cell
Size of the total moment ... 3.1 μB/f.u.


Entry 6:
## TlTc3As (GGA-PBEsol)

Data for an optimized crystal structure of TlTc3As.

```
data_TlTc3As
_chemical_formula_sum 'Tl1 Tc3 As1'
_cell_length_a 4.977
_cell_length_b 4.977
_cell_length_c 4.977
_cell_angle_alpha 90.00
_cell_angle_beta 90.00
_cell_angle_gamma 90.00
_space_group_name_H-M_alt 'P m -3 m'
_space_group_IT_number 221
_space_group_name_Hall '-P 4 2 3'
loop_
_atom_site_label
_atom_site_type_symbol
_atom_site_fract_x
_atom_site_fract_y
_atom_site_fract_z
Tl1 Tl 0.000 0.000 0.000
Tc1 Tc 0.000 0.000 0.500
As1 As 0.500 0.500 0.500
```

ΔE_f ... 1342 kJ/mol of formula units
V ... 24.7 Å³/atom
Fermi-level density of states ... 8.1 states/eV per cell
Size of the total moment ... 8.2 μB/f.u.